1.
NaHgAu | PBE | relaxed

POSCAR file:
```
NaHgAu
1.0
-0.298 -1.488 -4.563
4.003 -0.629 -2.590
1.427 -4.438 -1.180
Na Au Hg
1 1 1
Cartesian
0.000 0.000 0.000 Na
1.283 -1.639 -2.083 Au
2.566 -3.278 -4.166 Hg
```

Final energy in Ry per atom: -0.136
Calculated density in g/cm³: 8.9
DOS(E_F) in states/eV/cell: 0.9
Energy of formation from the pure elements in eV per atom: -0.21

---

2.
Be2InCl | PBE | relaxed

POSCAR file:
```
Be2InCl
1.0
3.217 0.000 0.000
0.000 3.216 0.000
0.000 0.000 6.629
Cl Be In
1 2 1
Cartesian
0.000 0.000 1.959 Cl
1.609 1.608 2.859 Be
0.000 0.000 6.489 Be
1.609 1.608 5.265 In
```

Final energy in Ry per atom: -0.200
Calculated density in g/cm³: 4.1
DOS(E_F) in states/eV/cell: 0.6
ΔE_f (raw) in meV/atom: 292

---

3.
BAsPC | PBE | relaxed

POSCAR file:
```
BAsPC
1.0
-2.129 0.710 -1.419
-2.850 -3.143 2.703
-1.961 7.563 6.726
As C B P
2 2 2 2
Cartesian
-0.008 0.030 0.026 As
-3.478 2.595 4.032 As
-1.603 2.432 1.137 C
-2.944 4.287 6.561 C
-0.407 1.569 1.395 B
-3.877 4.134 5.401 B
-1.941 3.734 2.296 P
-3.282 5.590 7.720 P
```

Final energy in Ry per atom: -0.456
Calculated density in g/cm³: 3.1
DOS(E_F) in states/eV/cell: 1.2
Energy of formation from the pure elements in eV per atom: 0.28

---

4.
K4ClF2 | PBE | relaxed

POSCAR file:
```
K4ClF2
1.0
5.813 0.000 0.000
0.000 5.813 0.000
2.907 2.907 7.271
F K Cl
2 4 1
Cartesian
5.813 5.813 5.707 F
2.907 2.907 1.564 F
2.907 2.907 3.950 K
0.000 2.907 0.000 K
5.813 5.813 3.321 K
2.907 0.000 0.000 K
0.000 0.000 0.000 Cl
```

Final energy in Ry per atom: -0.238
Calculated density in g/cm³: 1.6
DOS(E_F) in states/eV/cell: 1.4
ΔE_f (raw) in meV/atom: -1816

---

5.
Sc6FeNi2 | PBE | relaxed

POSCAR file:
```
Sc6FeNi2
1.0
4.324 0.000 1.222
2.061 5.696 0.967
0.339 -0.434 7.059
Sc Fe Ni
6 1 2
Cartesian
3.389 1.112 4.529 Sc
4.946 0.978 7.279 Sc
4.893 3.996 7.467 Sc
1.831 1.266 1.781 Sc
3.335 4.150 4.719 Sc
1.778 4.284 1.969 Sc
1.200 2.631 4.013 Fe
2.764 2.489 6.739 Ni
3.960 2.773 2.509 Ni
```

Final energy in Ry per atom: -0.491
Calculated density in g/cm³: 4.3
DOS(E_F) in states/eV/cell: 9.6
Energy of formation from the pure elements in eV per atom: -0.23

---

6.
Cs2PbW | PBE | relaxed

POSCAR file:
```
Cs2PbW
1.0
-0.551 -5.567 -2.936
-0.801 -5.283 3.370
-5.565 -2.989 -0.086
Pb Cs W
1 2 1
Cartesian
-3.459 -6.919 0.174 Pb
-5.188 -10.379 0.261 Cs
-1.729 -3.460 0.087 Cs
0.000 0.000 0.000 W
```

Final energy in Ry per atom: -0.220
Calculated density in g/cm³: 6.1
DOS(E_F) in states/eV/cell: 3.0
Energy of formation from the pure elements in eV per atom: 1.60